A relaxed Er2AlTl3S6 crystal, computed with PBE-GGA.

Formation energy without anion corrections in eV per atom: -1.220
Uncorrected energy in eV/atom: -4.95

Unit cell a=6.7194 b=6.7194 c=7.8368 alpha=98.24 beta=98.24 gamma=119.80
Atoms (fractional coordinates):
S1 0.0618 0.3670 0.1844
S2 0.7551 0.7551 0.1938
S3 0.6330 0.9382 0.8156
S4 0.9382 0.6330 0.8156
S5 0.2449 0.2449 0.8062
S6 0.3670 0.0618 0.1844
Al1 0.0000 0.0000 0.0000
Tl1 0.5000 0.5000 0.5000
Tl2 0.8281 0.1719 0.5000
Tl3 0.1719 0.8281 0.5000
Er1 0.6662 0.3338 0.0000
Er2 0.3338 0.6662 0.0000

---

A relaxed ErTm2AlS6 crystal, computed with PBE-GGA.

Formation energy without anion corrections in eV per atom: -1.754
Uncorrected energy in eV/atom: -5.96

Unit cell a=6.6487 b=6.6486 c=7.0557 alpha=61.89 beta=61.89 gamma=60.00
Atoms (fractional coordinates):
S1 0.9525 0.5848 0.2469
S2 0.2158 0.9525 0.2469
S3 0.4229 0.6936 0.7674
S4 0.1160 0.4229 0.7674
S5 0.5849 0.2159 0.2468
S6 0.6936 0.1160 0.7675
Tm1 0.5206 0.5206 0.4382
Tm2 0.0178 0.0178 0.9467
Al1 0.3209 0.3209 0.0372
Er1 0.8166 0.8166 0.5501

---

A relaxed Er4AlSb2 crystal, computed with PBE-GGA.

Formation energy without anion corrections in eV per atom: -0.539
Uncorrected energy in eV/atom: -4.86

Unit cell a=8.1844 b=8.1844 c=8.1760 alpha=109.03 beta=109.03 gamma=110.41
Atoms (fractional coordinates):
Er1 0.3094 0.1180 0.8078
Er2 0.9399 0.2484 0.3079
Er3 0.9405 0.6320 0.6921
Er4 0.3102 0.5016 0.1922
Er5 0.3680 0.0595 0.3078
Er6 0.4984 0.6898 0.8078
Er7 0.7516 0.0601 0.6921
Er8 0.8820 0.6905 0.1921
Al1 0.2500 0.7500 0.5000
Al2 0.0000 0.0000 0.0000
Sb1 0.6250 0.3750 0.2500
Sb2 0.6250 0.3750 0.7500
Sb3 0.1250 0.3750 0.7501
Sb4 0.6250 0.8750 0.2500

---

A relaxed Er5AlSb2 crystal, computed with PBE-GGA.

Formation energy without anion corrections in eV per atom: -0.323
Uncorrected energy in eV/atom: -4.67

Unit cell a=5.5034 b=6.3061 c=14.3071 alpha=90.00 beta=90.00 gamma=115.87
Atoms (fractional coordinates):
Er1 0.5687 0.1373 0.2500
Er2 0.0755 0.1511 0.4011
Er3 0.4313 0.8627 0.7500
Er4 0.3764 0.7528 0.4485
Er5 0.9245 0.8489 0.9011
Er6 0.0755 0.1511 0.0989
Er7 0.9245 0.8489 0.5989
Er8 0.6236 0.2472 0.5515
Er9 0.6236 0.2472 0.9485
Er10 0.3764 0.7528 0.0515
Sb1 0.2070 0.4141 0.6201
Sb2 0.7930 0.5859 0.1201
Sb3 0.7930 0.5859 0.3799
Sb4 0.2070 0.4141 0.8799
Al1 0.7199 0.4398 0.7500
Al2 0.2801 0.5602 0.2500

---

A relaxed Er2AlSb crystal, computed with PBE-GGA.

Formation energy without anion corrections in eV per atom: -0.094
Uncorrected energy in eV/atom: -4.34

Unit cell a=3.5001 b=3.5001 c=10.7271 alpha=80.61 beta=80.61 gamma=60.00
Atoms (fractional coordinates):
Sb1 0.0000 0.0000 0.0000
Er1 0.0965 0.0965 0.7106
Er2 0.9035 0.9035 0.2894
Al1 0.5000 0.5000 0.5000

---

A relaxed Er7Al2Sb2 crystal, computed with PBE-GGA.

Formation energy without anion corrections in eV per atom: -0.250
Uncorrected energy in eV/atom: -4.58

Unit cell a=6.6203 b=7.6416 c=6.6203 alpha=89.88 beta=108.14 gamma=90.12
Atoms (fractional coordinates):
Sb1 0.7029 0.0007 0.2971
Sb2 0.2971 0.9993 0.7029
Al1 0.8310 0.5000 0.8310
Al2 0.1690 0.5000 0.1690
Er1 0.9992 0.7086 0.4986
Er2 0.0000 0.0000 0.0000
Er3 0.5002 0.2809 0.4998
Er4 0.5014 0.7086 0.0008
Er5 0.4986 0.2914 0.9992
Er6 0.4998 0.7191 0.5002
Er7 0.0008 0.2914 0.5014

---

A relaxed Er8AlSb6 crystal, computed with PBE-GGA.

Formation energy without anion corrections in eV per atom: -0.626
Uncorrected energy in eV/atom: -4.96

Unit cell a=4.5391 b=10.5242 c=10.5242 alpha=120.00 beta=90.00 gamma=90.00
Atoms (fractional coordinates):
Er1 0.2550 0.2941 0.0330
Er2 0.7450 0.0330 0.7389
Er3 0.2550 0.9670 0.2611
Er4 0.2532 0.3333 0.6667
Er5 0.2550 0.7389 0.7059
Er6 0.7450 0.2611 0.2941
Er7 0.7468 0.6667 0.3333
Er8 0.7450 0.7059 0.9670
Sb1 0.2468 0.6382 0.1123
Sb2 0.7532 0.5259 0.6382
Sb3 0.2468 0.4741 0.3618
Sb4 0.7532 0.1123 0.4741
Sb5 0.2468 0.8877 0.5259
Sb6 0.7532 0.3618 0.8877
Al1 0.5000 0.0000 0.0000

---

A relaxed Er8Al2Sb crystal, computed with PBE-GGA.

Formation energy without anion corrections in eV per atom: -0.287
Uncorrected energy in eV/atom: -4.66

Unit cell a=4.9302 b=6.7465 c=9.8879 alpha=103.24 beta=104.44 gamma=90.00
Atoms (fractional coordinates):
Er1 0.7837 0.6870 0.5675
Er2 0.5951 0.4653 0.1903
Er3 0.2163 0.3130 0.4325
Er4 0.3409 0.0226 0.6819
Er5 0.0308 0.7613 0.0615
Er6 0.9692 0.2387 0.9385
Er7 0.4049 0.5347 0.8097
Er8 0.6591 0.9774 0.3181
Sb1 0.5000 0.0000 0.0000
Al1 0.8128 0.2491 0.6256
Al2 0.1872 0.7509 0.3744

---

A relaxed Er6AlSb2 crystal, computed with PBE-GGA.

Formation energy without anion corrections in eV per atom: -0.122
Uncorrected energy in eV/atom: -4.50

Unit cell a=6.8132 b=6.8132 c=13.3749 alpha=90.00 beta=90.00 gamma=90.00
Atoms (fractional coordinates):
Sb1 0.5000 0.5000 0.8355
Sb2 0.0000 0.0000 0.6645
Sb3 0.5000 0.5000 0.1645
Sb4 0.0000 0.0000 0.3355
Er1 0.3055 0.3055 0.6626
Er2 0.1945 0.8055 0.8374
Er3 0.7084 0.7084 0.0000
Er4 0.8055 0.1945 0.8374
Er5 0.8055 0.1945 0.1626
Er6 0.7916 0.2084 0.5000
Er7 0.6945 0.6945 0.6626
Er8 0.2084 0.7916 0.5000
Er9 0.3055 0.3055 0.3374
Er10 0.6945 0.6945 0.3374
Er11 0.1945 0.8055 0.1626
Er12 0.2916 0.2916 0.0000
Al1 0.0000 0.0000 0.0000
Al2 0.5000 0.5000 0.5000

---

A relaxed ErScAl6 crystal, computed with PBE-GGA.

DFT formation energy in eV per atom: -0.40
Excess energy over the best structure of this formula in the dataset in meV/atom: 0
Uncorrected energy in eV/atom: -4.57

Unit cell a=4.7354 b=5.9737 c=5.9737 alpha=119.97 beta=90.00 gamma=90.00
Atoms (fractional coordinates):
Al1 0.0000 0.5971 0.4029
Al2 0.5000 0.9072 0.0928
Al3 0.5000 0.4357 0.0930
Al4 0.0000 0.5973 0.9444
Al5 0.0000 0.0556 0.4027
Al6 0.5000 0.9070 0.5643
Sc1 0.0000 0.0834 0.9166
Er1 0.5000 0.4165 0.5835

---

A relaxed ErScAl2 crystal, computed with PBE-GGA.

DFT formation energy in eV per atom: -0.42
Excess energy over the best structure of this formula in the dataset in meV/atom: 0
Uncorrected energy in eV/atom: -5.01

Unit cell a=3.4781 b=3.4781 c=6.9200 alpha=90.00 beta=90.00 gamma=90.00
Atoms (fractional coordinates):
Al1 0.0000 0.0000 0.7696
Al2 0.0000 0.0000 0.2304
Er1 0.5000 0.5000 0.5000
Sc1 0.5000 0.5000 0.0000

---

A relaxed ErSc7Al4 crystal, computed with PBE-GGA.

DFT formation energy in eV per atom: -0.08
Uncorrected energy in eV/atom: -5.40

Unit cell a=5.1228 b=8.5351 c=7.0215 alpha=77.80 beta=68.60 gamma=72.54
Atoms (fractional coordinates):
Sc1 0.3016 0.6397 0.7571
Sc2 0.6984 0.3603 0.2429
Sc3 0.2163 0.1245 0.4429
Sc4 0.0626 0.6108 0.2640
Sc5 0.7837 0.8755 0.5571
Sc6 0.5000 0.0000 0.0000
Sc7 0.9374 0.3892 0.7360
Al1 0.3198 0.3333 0.0271
Al2 0.6802 0.6667 0.9729
Al3 0.5598 0.2319 0.6485
Al4 0.4402 0.7681 0.3515
Er1 0.0000 0.0000 0.0000

---

What is the formula in the fourth record? Er5AlSb2

---

Which of these has the highest uncorrected energy? Er2AlSb